#w
Ga2Re2N | GGA-PBE | relaxed

Volume ... 14.4 Å³ per atom
Fermi-level density of states ... 4.82 states/eV/f.u.

Cell lengths 3.2982, 3.2982, 13.2099 Å; angles 90.00, 90.00, 90.00 degrees
Space group I4/mmm (No. 139)
One atom of each set of equivalent atoms:
Ga 0.0000 0.5000 0.2500 [4 per cell]
Re 0.0000 0.0000 0.0940 [4 per cell]
N 0.0000 0.0000 0.5000 [2 per cell]

#x
Ga2Re2N | GGA-PBE | relaxed

Volume ... 14.5 Å³ per atom
Fermi-level density of states ... 3.46 states/eV/f.u.

Cell lengths 5.4650, 5.4650, 4.8492 Å; angles 90.00, 90.00, 90.00 degrees
Space group P4/mbm (No. 127)
One atom of each set of equivalent atoms:
Ga 0.1850 0.3150 0.0000 [4 per cell]
Re 0.1733 0.6733 0.5000 [4 per cell]
N 0.0000 0.0000 0.5000 [2 per cell]

Relative energies, meV per atom: #w 974; #x 0.